A relaxed structure of Pm3YTh3. Source: the Alexandria database, functional GGA-PBE.

a b c (Å): 5.8954 9.5962 9.5962
angles (deg): 120.00 90.00 90.00
Last column: nearest neighbours and their distance in Å.
Fractional coordinates of all 14 atoms:
Th: 0.7500 0.5101 0.8954  4 Th 3.45-3.63, 5 Pm 3.50-3.79, 3 Y 3.56-3.69
Th: 0.2500 0.4899 0.1046  4 Th 3.45-3.63, 5 Pm 3.50-3.79, 3 Y 3.56-3.69
Th: 0.2500 0.8954 0.3853  4 Th 3.45-3.63, 5 Pm 3.50-3.79, 3 Y 3.56-3.69
Th: 0.7500 0.3853 0.4899  4 Th 3.45-3.63, 5 Pm 3.50-3.79, 3 Y 3.56-3.69
Th: 0.2500 0.6147 0.5101  4 Th 3.45-3.63, 5 Pm 3.50-3.79, 3 Y 3.56-3.69
Th: 0.7500 0.1046 0.6147  4 Th 3.45-3.63, 5 Pm 3.50-3.79, 3 Y 3.56-3.69
Y: 0.2500 0.3333 0.6667  9 Th 3.56-3.69, 3 Pm 3.60
Y: 0.7500 0.6667 0.3333  9 Th 3.56-3.69, 3 Pm 3.60
Pm: 0.2500 0.7575 0.9567  5 Th 3.50-3.79, 1 Y 3.60, 6 Pm 3.65-3.72
Pm: 0.7500 0.8008 0.7575  5 Th 3.50-3.79, 1 Y 3.60, 6 Pm 3.65-3.72
Pm: 0.2500 0.1992 0.2425  5 Th 3.50-3.79, 1 Y 3.60, 6 Pm 3.65-3.72
Pm: 0.7500 0.9567 0.1992  5 Th 3.50-3.79, 1 Y 3.60, 6 Pm 3.65-3.72
Pm: 0.7500 0.2425 0.0433  5 Th 3.50-3.79, 1 Y 3.60, 6 Pm 3.65-3.72
Pm: 0.2500 0.0433 0.8008  5 Th 3.50-3.79, 1 Y 3.60, 6 Pm 3.65-3.72

## Properties
Formation enthalpy at 0 K (meV per atom): 65
N(E_F) (states/eV/atom): 1.58
V (Å³/cell): 470.2